Entry from the Alexandria database: an optimized crystal structure of RbGeB (PBE).

Cell lengths 6.729, 6.729, 3.782 Å; angles 94.01, 94.01, 95.57 degrees
Positions (direct):
Rb 0.209 0.791 0.000
Rb 0.791 0.209 0.000
Ge 0.299 0.299 0.451
Ge 0.742 0.742 0.411
B 0.515 0.515 0.581
B 0.638 0.638 0.908



Entry from the Alexandria database: an optimized crystal structure of RbGeB (PBE).

Cell lengths 4.663, 4.663, 7.646 Å; angles 90.00, 90.00, 120.00 degrees
Positions (direct):
Rb 0.000 0.000 0.000
Rb 0.000 0.000 0.500
Ge 0.333 0.667 0.175
Ge 0.333 0.667 0.825
B 0.667 0.333 0.120
B 0.667 0.333 0.880



Entry from the Alexandria database: an optimized crystal structure of RbGeB (PBE).

Cell lengths 4.851, 4.851, 3.723 Å; angles 90.00, 90.00, 90.00 degrees
Positions (direct):
Rb 0.000 0.000 0.000
Ge 0.500 0.500 0.500
B 0.500 0.500 0.000



Entry from the Alexandria database: an optimized crystal structure of RbGeB (PBE).

Cell lengths 4.890, 5.283, 7.984 Å; angles 109.29, 107.79, 90.02 degrees
Positions (direct):
Rb 0.141 0.141 0.282
Rb 0.859 0.859 0.718
Ge 0.411 0.411 0.821
Ge 0.589 0.589 0.179
B 0.162 0.500 0.000
B 0.838 0.500 0.000



Entry from the Alexandria database: an optimized crystal structure of RbGeB (PBE).

Cell lengths 7.156, 7.156, 3.493 Å; angles 100.40, 100.40, 115.82 degrees
Positions (direct):
Rb 0.167 0.833 0.500
Rb 0.833 0.167 0.000
Ge 0.518 0.669 0.155
Ge 0.669 0.518 0.655
B 0.331 0.336 0.716
B 0.336 0.331 0.216



Entry from the Alexandria database: an optimized crystal structure of RbGeB (PBE).

Cell lengths 6.630, 5.028, 6.650 Å; angles 67.53, 44.50, 67.97 degrees
Positions (direct):
Rb 0.203 0.797 0.203
Rb 0.797 0.203 0.797
Ge 0.486 0.836 0.514
Ge 0.836 0.486 0.164
B 0.244 0.484 0.756
B 0.484 0.244 0.516



Entry from the Alexandria database: an optimized crystal structure of Rb3GeB (PBE).

Cell lengths 6.216, 6.216, 6.216 Å; angles 90.00, 90.00, 90.00 degrees
Positions (direct):
Rb 0.000 0.000 0.500
Rb 0.000 0.500 0.000
Rb 0.500 0.000 0.000
Ge 0.500 0.500 0.500
B 0.000 0.000 0.000

ΔE to the lowest computed polymorph = 0 meV per atom



Entry from the Alexandria database: an optimized crystal structure of RbGeB (PBE).

Cell lengths 3.639, 5.726, 6.366 Å; angles 90.00, 90.00, 90.00 degrees
Positions (direct):
Rb 0.000 0.000 0.000
Rb 0.500 0.000 0.500
Ge 0.000 0.500 0.302
Ge 0.000 0.500 0.698
B 0.500 0.500 0.133
B 0.500 0.500 0.867



The following formation energy values (in eV per atom) correspond, in order, to the records above: 0.36; 0.94; 0.55; 0.19; 0.19; 0.19; 1.06; 0.18.